Below is a relaxed Na2Li2SbS4 crystal, with properties calculated at the GGA-PBE level.

Computed properties:
Total moment in μB per cell: 0.00
Raw formation energy in eV per atom: -0.87
DFT total energy in hartree per atom: -0.143
Space group: No. 12

Lattice parameters (Å, degrees): 7.5297 7.5297 7.2930 115.28 115.28 29.51
Fractional coordinates of all 9 atoms:
Na1 0.1527 0.1527 0.0357
Na2 0.8473 0.8473 0.9643
Li1 0.3186 0.3186 0.5203
Li2 0.6814 0.6814 0.4797
Sb1 0.0000 0.0000 0.5000
S1 0.2061 0.2061 0.6919
S2 0.4958 0.4958 0.7563
S3 0.5042 0.5042 0.2437
S4 0.7939 0.7939 0.3081